ScCrIO2 | the Alexandria database | GGA+U | optimized geometry; M_tot = 3.5 μB/f.u.; electronic total energy = -5.83 eV per atom
1.0
4.043 0.000 0.000
0.000 4.043 0.000
0.000 0.000 5.184
Cr Sc O I
1 1 2 1
direct
0.000 0.000 0.000 Cr
0.500 0.500 0.500 Sc
0.500 0.000 0.000 O
0.000 0.500 0.000 O
0.000 0.000 0.500 I